Record 1
Sr9As3N2 after structural relaxation, computed with PBE-GGA.

Unit cell a=7.2995 b=7.2995 c=8.9435 alpha=90.00 beta=90.00 gamma=120.00
Last column: nearest neighbours and their distance in Å.
Fractional positions:
1 Sr 0.0000 0.5000 0.0000  2 N 2.60
2 Sr 0.1711 0.3422 0.6734  1 N 2.48
3 Sr 0.1711 0.8289 0.6734  1 N 2.48
4 Sr 0.3422 0.1711 0.3266  1 N 2.48
5 Sr 0.5000 0.0000 0.0000  2 N 2.60
6 Sr 0.5000 0.5000 0.0000  2 N 2.60
7 Sr 0.6578 0.8289 0.6734  1 N 2.48
8 Sr 0.8289 0.1711 0.3266  1 N 2.48
9 Sr 0.8289 0.6578 0.3266  1 N 2.48
10 As 0.0000 0.0000 0.0000  12 Sr 3.63-3.65
11 As 0.3333 0.6667 0.3323  12 Sr 3.64-3.68
12 As 0.6667 0.3333 0.6677  12 Sr 3.64-3.68
13 N 0.3333 0.6667 0.8296  6 Sr 2.48-2.60
14 N 0.6667 0.3333 0.1704  6 Sr 2.48-2.60

Output
space-group type: P-3m1 (164)
VASP energy: -56.0 eV per cell
crystal system: trigonal

---

Record 2
Sr3AsN after structural relaxation, computed with PBE-GGA.

Unit cell a=9.4801 b=9.4801 c=9.4801 alpha=60.00 beta=60.00 gamma=60.00
Last column: nearest neighbours and their distance in Å.
Fractional positions:
1 Sr 0.0917 0.0917 0.6583  2 N 2.67
2 Sr 0.0917 0.6583 0.0917  2 N 2.67
3 Sr 0.0917 0.6583 0.6583  2 N 2.67
4 Sr 0.3417 0.3417 0.9083  2 N 2.67
5 Sr 0.3417 0.9083 0.3417  2 N 2.67
6 Sr 0.3417 0.9083 0.9083  2 N 2.67
7 Sr 0.6583 0.0917 0.0917  2 N 2.67
8 Sr 0.6583 0.0917 0.6583  2 N 2.67
9 Sr 0.6583 0.6583 0.0917  2 N 2.67
10 Sr 0.9083 0.3417 0.3417  2 N 2.67
11 Sr 0.9083 0.3417 0.9083  2 N 2.67
12 Sr 0.9083 0.9083 0.3417  2 N 2.67
13 As 0.0000 0.5000 0.5000  6 Sr 3.18
14 As 0.5000 0.0000 0.5000  6 Sr 3.18
15 As 0.5000 0.5000 0.0000  6 Sr 3.18
16 As 0.5000 0.5000 0.5000  6 Sr 3.18
17 N 0.0000 0.0000 0.0000  6 Sr 2.67
18 N 0.0000 0.0000 0.5000  6 Sr 2.67
19 N 0.0000 0.5000 0.0000  6 Sr 2.67
20 N 0.5000 0.0000 0.0000  6 Sr 2.67

Output
space-group type: Fd-3m (227)
excess energy over the best structure of this formula in the dataset: 0.362 eV/atom
crystal system: cubic

---

Record 3
Sr8AsN4 after structural relaxation, computed with PBE-GGA.

Unit cell a=8.0663 b=8.0663 c=8.0663 alpha=60.00 beta=60.00 gamma=60.00
Last column: nearest neighbours and their distance in Å.
Fractional positions:
1 Sr 0.0744 0.6419 0.6419  3 N 2.63
2 Sr 0.1047 0.1047 0.1047  3 N 2.68, 1 As 2.87
3 Sr 0.1047 0.1047 0.6858  3 N 2.68, 1 As 2.87
4 Sr 0.1047 0.6858 0.1047  3 N 2.68, 1 As 2.87
5 Sr 0.6419 0.0744 0.6419  3 N 2.63
6 Sr 0.6419 0.6419 0.0744  3 N 2.63
7 Sr 0.6419 0.6419 0.6419  3 N 2.63
8 Sr 0.6858 0.1047 0.1047  3 N 2.68, 1 As 2.87
9 As 0.2500 0.2500 0.2500  4 Sr 2.87
10 N 0.3845 0.8718 0.8718  6 Sr 2.63-2.68
11 N 0.8718 0.3845 0.8718  6 Sr 2.63-2.68
12 N 0.8718 0.8718 0.3845  6 Sr 2.63-2.68
13 N 0.8718 0.8718 0.8718  6 Sr 2.63-2.68

Output
space-group type: F-43m (216)
excess energy over the best structure of this formula in the dataset: 0.063 eV/atom
crystal system: cubic

---

Record 4
Sr3AsN after structural relaxation, computed with PBE-GGA.

Unit cell a=4.7941 b=4.7941 c=15.5904 alpha=90.00 beta=90.00 gamma=120.00
Last column: nearest neighbours and their distance in Å.
Fractional positions:
1 Sr 0.0000 0.0000 0.2500  3 N 2.77
2 Sr 0.0000 0.0000 0.7500  3 N 2.77
3 Sr 0.3333 0.6667 0.0911  1 N 2.48
4 Sr 0.3333 0.6667 0.4089  1 N 2.48
5 Sr 0.6667 0.3333 0.5911  1 N 2.48
6 Sr 0.6667 0.3333 0.9089  1 N 2.48
7 As 0.0000 0.0000 0.0000  6 Sr 3.11
8 As 0.0000 0.0000 0.5000  6 Sr 3.11
9 N 0.3333 0.6667 0.2500  5 Sr 2.48-2.77
10 N 0.6667 0.3333 0.7500  5 Sr 2.48-2.77

Output
space-group type: P6_3/mmc (194)
excess energy over the best structure of this formula in the dataset: 0.122 eV/atom
crystal system: hexagonal

---

Record 5
Sr12As3N5 after structural relaxation, computed with PBE-GGA.

Unit cell a=14.3874 b=14.3874 c=14.3874 alpha=109.47 beta=109.47 gamma=109.47
Last column: nearest neighbours and their distance in Å.
Fractional positions:
1 Sr 0.0217 0.2030 0.1203  2 N 2.44-2.70
2 Sr 0.0217 0.3187 0.9015  2 N 2.44-2.70
3 Sr 0.0828 0.7030 0.6813  2 N 2.44-2.70
4 Sr 0.0828 0.8797 0.4015  2 N 2.44-2.70
5 Sr 0.0985 0.6203 0.4172  2 N 2.44-2.70
6 Sr 0.0985 0.9783 0.6813  2 N 2.44-2.70
7 Sr 0.1203 0.0217 0.2030  2 N 2.44-2.70
8 Sr 0.1203 0.5985 0.9172  2 N 2.44-2.70
9 Sr 0.1813 0.2030 0.5828  2 N 2.44-2.70
10 Sr 0.1813 0.4783 0.5985  2 N 2.44-2.70
11 Sr 0.2030 0.1203 0.0217  2 N 2.44-2.70
12 Sr 0.2030 0.5828 0.1813  2 N 2.44-2.70
13 Sr 0.2970 0.3187 0.9172  2 N 2.44-2.70
14 Sr 0.2970 0.4783 0.3797  2 N 2.44-2.70
15 Sr 0.3187 0.9015 0.0217  2 N 2.44-2.70
16 Sr 0.3187 0.9172 0.2970  2 N 2.44-2.70
17 Sr 0.3797 0.2970 0.4783  2 N 2.44-2.70
18 Sr 0.3797 0.5828 0.9015  2 N 2.44-2.70
19 Sr 0.4015 0.0828 0.8797  2 N 2.44-2.70
20 Sr 0.4015 0.8187 0.5217  2 N 2.44-2.70
21 Sr 0.4172 0.0985 0.6203  2 N 2.44-2.70
22 Sr 0.4172 0.8187 0.7970  2 N 2.44-2.70
23 Sr 0.4783 0.3797 0.2970  2 N 2.44-2.70
24 Sr 0.4783 0.5985 0.1813  2 N 2.44-2.70
25 Sr 0.5217 0.4015 0.8187  2 N 2.44-2.70
26 Sr 0.5217 0.6203 0.7030  2 N 2.44-2.70
27 Sr 0.5828 0.1813 0.2030  2 N 2.44-2.70
28 Sr 0.5828 0.9015 0.3797  2 N 2.44-2.70
29 Sr 0.5985 0.1813 0.4783  2 N 2.44-2.70
30 Sr 0.5985 0.9172 0.1203  2 N 2.44-2.70
31 Sr 0.6203 0.4172 0.0985  2 N 2.44-2.70
32 Sr 0.6203 0.7030 0.5217  2 N 2.44-2.70
33 Sr 0.6813 0.0828 0.7030  2 N 2.44-2.70
34 Sr 0.6813 0.0985 0.9783  2 N 2.44-2.70
35 Sr 0.7030 0.5217 0.6203  2 N 2.44-2.70
36 Sr 0.7030 0.6813 0.0828  2 N 2.44-2.70
37 Sr 0.7970 0.4172 0.8187  2 N 2.44-2.70
38 Sr 0.7970 0.8797 0.9783  2 N 2.44-2.70
39 Sr 0.8187 0.5217 0.4015  2 N 2.44-2.70
40 Sr 0.8187 0.7970 0.4172  2 N 2.44-2.70
41 Sr 0.8797 0.4015 0.0828  2 N 2.44-2.70
42 Sr 0.8797 0.9783 0.7970  2 N 2.44-2.70
43 Sr 0.9015 0.0217 0.3187  2 N 2.44-2.70
44 Sr 0.9015 0.3797 0.5828  2 N 2.44-2.70
45 Sr 0.9172 0.1203 0.5985  2 N 2.44-2.70
46 Sr 0.9172 0.2970 0.3187  2 N 2.44-2.70
47 Sr 0.9783 0.6813 0.0985  2 N 2.44-2.70
48 Sr 0.9783 0.7970 0.8797  2 N 2.44-2.70
49 As 0.1250 0.2500 0.3750  8 Sr 3.19-3.35
50 As 0.1250 0.3750 0.7500  8 Sr 3.19-3.35
51 As 0.2500 0.3750 0.1250  8 Sr 3.19-3.35
52 As 0.2500 0.8750 0.6250  8 Sr 3.19-3.35
53 As 0.3750 0.1250 0.2500  8 Sr 3.19-3.35
54 As 0.3750 0.7500 0.1250  8 Sr 3.19-3.35
55 As 0.6250 0.2500 0.8750  8 Sr 3.19-3.35
56 As 0.6250 0.8750 0.7500  8 Sr 3.19-3.35
57 As 0.7500 0.1250 0.3750  8 Sr 3.19-3.35
58 As 0.7500 0.6250 0.8750  8 Sr 3.19-3.35
59 As 0.8750 0.6250 0.2500  8 Sr 3.19-3.35
60 As 0.8750 0.7500 0.6250  8 Sr 3.19-3.35
61 N 0.0000 0.0000 0.0000  6 Sr 2.70
62 N 0.0000 0.0000 0.5000  6 Sr 2.70
63 N 0.0000 0.5000 0.0000  6 Sr 2.70
64 N 0.0000 0.5000 0.5000  6 Sr 2.70
65 N 0.1250 0.7500 0.8750  4 Sr 2.44
66 N 0.1250 0.8750 0.2500  4 Sr 2.44
67 N 0.2500 0.1250 0.8750  4 Sr 2.44
68 N 0.2500 0.6250 0.3750  4 Sr 2.44
69 N 0.3750 0.2500 0.6250  4 Sr 2.44
70 N 0.3750 0.6250 0.7500  4 Sr 2.44
71 N 0.5000 0.0000 0.0000  6 Sr 2.70
72 N 0.5000 0.0000 0.5000  6 Sr 2.70
73 N 0.5000 0.5000 0.0000  6 Sr 2.70
74 N 0.5000 0.5000 0.5000  6 Sr 2.70
75 N 0.6250 0.3750 0.2500  4 Sr 2.44
76 N 0.6250 0.7500 0.3750  4 Sr 2.44
77 N 0.7500 0.3750 0.6250  4 Sr 2.44
78 N 0.7500 0.8750 0.1250  4 Sr 2.44
79 N 0.8750 0.1250 0.7500  4 Sr 2.44
80 N 0.8750 0.2500 0.1250  4 Sr 2.44

Output
space-group type: Ia-3d (230)
VASP energy: -363.5 eV per cell
crystal system: cubic

---

Record 6
SrAs2N2 after structural relaxation, computed with PBE-GGA.

Unit cell a=8.0256 b=3.1440 c=7.1359 alpha=90.00 beta=108.16 gamma=90.00
Last column: nearest neighbours and their distance in Å.
Fractional positions:
1 Sr 0.0000 0.0000 0.0000  6 N 2.63-2.87
2 Sr 0.5000 0.5000 0.0000  6 N 2.63-2.87
3 As 0.1562 0.0000 0.6297  2 N 1.97
4 As 0.3438 0.5000 0.3703  2 N 1.97
5 As 0.6562 0.5000 0.6297  2 N 1.97
6 As 0.8438 0.0000 0.3703  2 N 1.97
7 N 0.1319 0.5000 0.7856  2 As 1.97
8 N 0.3681 0.0000 0.2144  2 As 1.97
9 N 0.6319 0.0000 0.7856  2 As 1.97
10 N 0.8681 0.5000 0.2144  2 As 1.97

Output
space-group type: C2/m (12)
VASP energy: -55.9 eV per cell
crystal system: monoclinic

---

Record 7
Sr12As5N2 after structural relaxation, computed with PBE-GGA.

Unit cell a=9.4600 b=9.4600 c=9.7989 alpha=105.00 beta=105.00 gamma=49.57
Last column: nearest neighbours and their distance in Å.
Fractional positions:
1 Sr 0.0009 0.0009 0.1850  2 N 2.71
2 Sr 0.0804 0.5961 0.9168  1 N 2.66
3 Sr 0.0996 0.6012 0.4280  4 As 3.17-3.27
4 Sr 0.3988 0.9004 0.5720  4 As 3.17-3.27
5 Sr 0.4039 0.9196 0.0832  1 N 2.66
6 Sr 0.4965 0.4965 0.1764  2 N 2.62
7 Sr 0.5035 0.5035 0.8236  2 N 2.62
8 Sr 0.5961 0.0804 0.9168  1 N 2.66
9 Sr 0.6012 0.0996 0.4280  4 As 3.17-3.27
10 Sr 0.9004 0.3988 0.5720  4 As 3.17-3.27
11 Sr 0.9196 0.4039 0.0832  1 N 2.66
12 Sr 0.9991 0.9991 0.8150  2 N 2.71
13 As 0.1864 0.1864 0.8392  7 Sr 3.16-3.23
14 As 0.1930 0.1930 0.3492  7 Sr 3.16-3.27
15 As 0.5000 0.5000 0.5000  6 Sr 3.15-3.17
16 As 0.8070 0.8070 0.6508  7 Sr 3.16-3.27
17 As 0.8136 0.8136 0.1608  7 Sr 3.16-3.23
18 N 0.2539 0.7461 0.0000  6 Sr 2.62-2.71
19 N 0.7461 0.2539 0.0000  6 Sr 2.62-2.71

Output
space-group type: C2/m (12)
VASP energy: -76.8 eV per cell
crystal system: monoclinic

---

Record 8
Sr3AsN after structural relaxation, computed with PBE-GGA.

Unit cell a=9.3474 b=9.3474 c=6.5616 alpha=92.93 beta=92.93 gamma=96.73
Last column: nearest neighbours and their distance in Å.
Fractional positions:
1 Sr 0.0338 0.7889 0.9330  1 N 2.83, 1 As 3.16
2 Sr 0.1868 0.5738 0.4374  2 N 2.46-2.66
3 Sr 0.2111 0.9662 0.5670  1 N 2.83, 1 As 3.16
4 Sr 0.3171 0.4530 0.9035  3 N 2.59-2.74
5 Sr 0.4262 0.8132 0.0626  2 N 2.46-2.66
6 Sr 0.4530 0.3171 0.4035  3 N 2.59-2.74
7 Sr 0.5470 0.6829 0.5965  3 N 2.59-2.74
8 Sr 0.5738 0.1868 0.9374  2 N 2.46-2.66
9 Sr 0.6829 0.5470 0.0965  3 N 2.59-2.74
10 Sr 0.7889 0.0338 0.4330  1 N 2.83, 1 As 3.16
11 Sr 0.8132 0.4262 0.5626  2 N 2.46-2.66
12 Sr 0.9662 0.2111 0.0670  1 N 2.83, 1 As 3.16
13 As 0.0767 0.2613 0.5965  6 Sr 3.06-3.34
14 As 0.2613 0.0767 0.0965  6 Sr 3.06-3.34
15 As 0.7387 0.9233 0.9035  6 Sr 3.06-3.34
16 As 0.9233 0.7387 0.4035  6 Sr 3.06-3.34
17 N 0.2849 0.7151 0.7500  4 Sr 2.46-2.74
18 N 0.4316 0.5684 0.2500  6 Sr 2.59-2.66
19 N 0.5684 0.4316 0.7500  6 Sr 2.59-2.66
20 N 0.7151 0.2849 0.2500  4 Sr 2.46-2.74

Output
space-group type: C2/c (15)
excess energy over the best structure of this formula in the dataset: 0.131 eV/atom
crystal system: monoclinic

---

Record 9
Sr3AsN after structural relaxation, computed with PBE-GGA.

Unit cell a=9.0614 b=6.8960 c=9.9180 alpha=90.00 beta=115.30 gamma=90.00
Last column: nearest neighbours and their distance in Å.
Fractional positions:
1 Sr 0.0629 0.0502 0.3645  2 N 2.60-2.62
2 Sr 0.0629 0.4498 0.8645  2 N 2.60-2.62
3 Sr 0.1883 0.5818 0.5399  2 N 2.54-2.61
4 Sr 0.1883 0.9182 0.0399  2 N 2.54-2.61
5 Sr 0.3811 0.1893 0.7857  1 N 2.56
6 Sr 0.3811 0.3107 0.2857  1 N 2.56
7 Sr 0.6189 0.6893 0.7143  1 N 2.56
8 Sr 0.6189 0.8107 0.2143  1 N 2.56
9 Sr 0.8117 0.0818 0.9601  2 N 2.54-2.61
10 Sr 0.8117 0.4182 0.4601  2 N 2.54-2.61
11 Sr 0.9371 0.5502 0.1355  2 N 2.60-2.62
12 Sr 0.9371 0.9498 0.6355  2 N 2.60-2.62
13 As 0.3608 0.7429 0.8541  5 Sr 3.04-3.36
14 As 0.3608 0.7571 0.3541  5 Sr 3.04-3.36
15 As 0.6392 0.2429 0.6459  5 Sr 3.04-3.36
16 As 0.6392 0.2571 0.1459  5 Sr 3.04-3.36
17 N 0.0860 0.2482 0.0971  5 Sr 2.54-2.62
18 N 0.0860 0.2518 0.5971  5 Sr 2.54-2.62
19 N 0.9140 0.7482 0.4029  5 Sr 2.54-2.62
20 N 0.9140 0.7518 0.9029  5 Sr 2.54-2.62

Output
space-group type: P2_1/c (14)
excess energy over the best structure of this formula in the dataset: 0.104 eV/atom
crystal system: monoclinic

---

- What is the formula in the sixth record?
  SrAs2N2